Density functional theory data (PBE) for crystalline SnH2SeO at its relaxed geometry.

CIF file:
```
data_SnH2SeO
_symmetry_space_group_name_H-M 'P 4/m m m'
_symmetry_Int_Tables_number 123
_symmetry_space_group_name_Hall '-P 4 2'
_cell_length_a 3.458
_cell_length_b 3.458
_cell_length_c 6.057
_cell_angle_alpha 90.00
_cell_angle_beta 90.00
_cell_angle_gamma 90.00
loop_
_atom_site_label
_atom_site_type_symbol
_atom_site_fract_x
_atom_site_fract_y
_atom_site_fract_z
Sn1 Sn 0.000 0.000 0.000
H1 H 0.000 0.500 0.500
Se1 Se 0.000 0.000 0.500
O1 O 0.500 0.500 0.000
```

Results
- E (eV/atom) = -3.992


Density functional theory data (PBE) for crystalline SrH2SeO4 at its relaxed geometry.

CIF file:
```
data_SrH2SeO4
_symmetry_space_group_name_H-M 'I 2 2 2'
_symmetry_Int_Tables_number 23
_symmetry_space_group_name_Hall 'I 2 2'
_cell_length_a 4.712
_cell_length_b 5.980
_cell_length_c 6.667
_cell_angle_alpha 90.00
_cell_angle_beta 90.00
_cell_angle_gamma 90.00
loop_
_atom_site_label
_atom_site_type_symbol
_atom_site_fract_x
_atom_site_fract_y
_atom_site_fract_z
Sr1 Sr 0.000 0.000 0.000
H1 H 0.000 0.500 0.173
Se1 Se 0.000 0.000 0.500
O1 O 0.213 0.382 0.815
```

Results
- E (eV/atom) = -5.136


Density functional theory data (PBE) for crystalline SrH6Se2O2 at its relaxed geometry.

CIF file:
```
data_SrH6Se2O2
_symmetry_space_group_name_H-M 'C 1 2/m 1'
_symmetry_Int_Tables_number 12
_symmetry_space_group_name_Hall '-C 2y'
_cell_length_a 9.133
_cell_length_b 4.825
_cell_length_c 7.295
_cell_angle_alpha 90.00
_cell_angle_beta 100.38
_cell_angle_gamma 90.00
loop_
_atom_site_label
_atom_site_type_symbol
_atom_site_fract_x
_atom_site_fract_y
_atom_site_fract_z
Sr1 Sr 0.000 0.000 0.000
H1 H 0.156 0.500 0.458
H2 H 0.195 0.325 0.667
Se1 Se 0.199 0.500 0.190
O1 O 0.143 0.500 0.599
```

Results
- E (eV/atom) = -4.368